(1)
Mg4Sc3 | PBE | relaxed

Results
The polymorph energy (0 for the lowest one) comes out at 0.0 kJ/mol of formula units. As for the crystal system: tetragonal. The formation energy from the elements is -0.04 eV per atom. The space group is I4/mmm (139).

a b c (Å): 16.043 16.043 16.043
angles (deg): 168.50 168.50 16.29
Atoms (fractional coordinates):
1 Mg 0.071 0.071 0.000
2 Mg 0.359 0.359 0.000
3 Mg 0.641 0.641 0.000
4 Mg 0.929 0.929 0.000
5 Sc 0.214 0.214 0.000
6 Sc 0.500 0.500 0.000
7 Sc 0.786 0.786 0.000

***

(2)
La3Zn2Pd6 | PBE | relaxed

Results
As for the crystal system: cubic. The formation energy from the elements is -0.76 eV per atom. The space group is Im-3m (229).

a b c (Å): 8.420 8.420 8.420
angles (deg): 109.47 109.47 109.47
Atoms (fractional coordinates):
1 La 0.000 0.301 0.301
2 La 0.000 0.699 0.699
3 La 0.301 0.000 0.301
4 La 0.301 0.301 0.000
5 La 0.699 0.000 0.699
6 La 0.699 0.699 0.000
7 Zn 0.000 0.000 0.500
8 Zn 0.000 0.500 0.000
9 Zn 0.500 0.000 0.000
10 Zn 0.500 0.500 0.500
11 Pd 0.000 0.332 0.668
12 Pd 0.000 0.668 0.332
13 Pd 0.332 0.000 0.668
14 Pd 0.332 0.332 0.664
15 Pd 0.332 0.664 0.332
16 Pd 0.332 0.668 0.000
17 Pd 0.336 0.668 0.668
18 Pd 0.664 0.332 0.332
19 Pd 0.668 0.000 0.332
20 Pd 0.668 0.332 0.000
21 Pd 0.668 0.336 0.668
22 Pd 0.668 0.668 0.336

***

(3)
ScBiC3 | PBE | relaxed

Results
The polymorph energy (0 for the lowest one) comes out at 0.0 kJ/mol of formula units. As for the crystal system: cubic. The formation energy from the elements is 2.08 eV per atom. The space group is Pm-3m (221).

a b c (Å): 4.283 4.283 4.283
angles (deg): 90.00 90.00 90.00
Atoms (fractional coordinates):
1 Sc 0.000 0.000 0.000
2 Bi 0.500 0.500 0.500
3 C 0.000 0.000 0.500
4 C 0.000 0.500 0.000
5 C 0.500 0.000 0.000

***

(4)
FeRe2Au | PBE | relaxed

Results
The polymorph energy (0 for the lowest one) comes out at 52.6 kJ/mol of formula units. As for the crystal system: monoclinic. The formation energy from the elements is 0.35 eV per atom. The space group is Cm (8).

a b c (Å): 4.756 4.756 4.831
angles (deg): 99.99 99.99 33.64
Atoms (fractional coordinates):
1 Fe 0.000 0.000 0.000
2 Re 0.266 0.266 0.759
3 Re 0.512 0.512 0.543
4 Au 0.754 0.754 0.249

***

(5)
Tb3Dy3ScSe8 | PBE | relaxed

Results
As for the crystal system: trigonal. The space group is R-3m (166).

a b c (Å): 8.118 8.118 8.118
angles (deg): 59.96 59.96 59.96
Atoms (fractional coordinates):
1 Tb 0.000 0.500 0.500
2 Tb 0.500 0.000 0.500
3 Tb 0.500 0.500 0.000
4 Dy 0.000 0.000 0.500
5 Dy 0.000 0.500 0.000
6 Dy 0.500 0.000 0.000
7 Sc 0.500 0.500 0.500
8 Se 0.249 0.249 0.249
9 Se 0.253 0.745 0.745
10 Se 0.255 0.255 0.747
11 Se 0.255 0.747 0.255
12 Se 0.745 0.253 0.745
13 Se 0.745 0.745 0.253
14 Se 0.747 0.255 0.255
15 Se 0.751 0.751 0.751

***

(6)
BeMo3 | PBE | relaxed

Results
The polymorph energy (0 for the lowest one) comes out at 116.3 kJ/mol of formula units. As for the crystal system: orthorhombic. The formation energy from the elements is 0.29 eV per atom. The space group is Cmmm (65).

a b c (Å): 4.891 4.891 2.690
angles (deg): 90.00 90.00 114.25
Atoms (fractional coordinates):
1 Be 0.000 0.000 0.000
2 Mo 0.000 0.500 0.500
3 Mo 0.500 0.000 0.500
4 Mo 0.500 0.500 0.000

***

(7)
La3Ag3Au | PBE | relaxed

Results
As for the crystal system: orthorhombic. The formation energy from the elements is -0.39 eV per atom. The space group is Imm2 (44).

a b c (Å): 10.819 10.819 10.819
angles (deg): 159.62 154.39 32.94
Atoms (fractional coordinates):
1 La 0.000 0.000 0.000
2 La 0.375 0.375 0.000
3 La 0.694 0.194 0.500
4 Ag 0.122 0.622 0.500
5 Ag 0.548 0.548 0.000
6 Ag 0.833 0.833 0.000
7 Au 0.256 0.756 0.500

***

(8)
SrZrCr | PBE | relaxed

Results
The polymorph energy (0 for the lowest one) comes out at 0.0 kJ/mol of formula units. As for the crystal system: tetragonal. The formation energy from the elements is 0.57 eV per atom. The space group is I4mm (107).

a b c (Å): 6.858 6.858 6.858
angles (deg): 150.34 150.34 42.44
Atoms (fractional coordinates):
1 Sr 0.000 0.000 0.000
2 Zr 0.722 0.722 0.000
3 Cr 0.318 0.318 0.000

***

(9)
IrOs4W | PBE | relaxed

Results
The polymorph energy (0 for the lowest one) comes out at 0.0 kJ/mol of formula units. As for the crystal system: orthorhombic. The formation energy from the elements is 0.29 eV per atom. The space group is Imma (74).

a b c (Å): 6.998 6.998 6.998
angles (deg): 143.90 77.60 114.01
Atoms (fractional coordinates):
1 Ir 0.415 0.165 0.250
2 Ir 0.585 0.835 0.750
3 Os 0.108 0.488 0.620
4 Os 0.169 0.166 0.003
5 Os 0.337 0.834 0.503
6 Os 0.368 0.488 0.880
7 Os 0.632 0.512 0.120
8 Os 0.663 0.166 0.497
9 Os 0.831 0.834 0.997
10 Os 0.892 0.512 0.380
11 W 0.091 0.841 0.250
12 W 0.909 0.159 0.750

***

(10)
OsSO5 | PBE | relaxed

Results
As for the crystal system: monoclinic. The space group is C2/c (15).

a b c (Å): 5.181 5.181 7.292
angles (deg): 110.64 110.64 89.17
Atoms (fractional coordinates):
1 Os 0.000 0.000 0.000
2 Os 0.000 0.000 0.500
3 S 0.389 0.611 0.750
4 S 0.611 0.389 0.250
5 O 0.050 0.950 0.250
6 O 0.267 0.711 0.573
7 O 0.289 0.733 0.927
8 O 0.300 0.342 0.167
9 O 0.342 0.300 0.667
10 O 0.658 0.700 0.333
11 O 0.700 0.658 0.833
12 O 0.711 0.267 0.073
13 O 0.733 0.289 0.427
14 O 0.950 0.050 0.750

***

(11)
RbNpBeSe3 | PBE | relaxed

Results
As for the crystal system: monoclinic. The space group is P2_1/m (11).

a b c (Å): 9.651 4.057 9.723
angles (deg): 90.00 109.75 90.00
Atoms (fractional coordinates):
1 Rb 0.205 0.250 0.237
2 Rb 0.795 0.750 0.763
3 Np 0.331 0.750 0.851
4 Np 0.669 0.250 0.149
5 Be 0.078 0.250 0.606
6 Be 0.922 0.750 0.394
7 Se 0.113 0.250 0.843
8 Se 0.165 0.750 0.530
9 Se 0.464 0.750 0.164
10 Se 0.536 0.250 0.836
11 Se 0.835 0.250 0.470
12 Se 0.887 0.750 0.157

***

(12)
TbPr8Sb6 | PBE | relaxed

Results
As for the crystal system: trigonal. The space group is R-3 (148).

a b c (Å): 9.896 9.896 9.896
angles (deg): 49.34 49.34 49.34
Atoms (fractional coordinates):
1 Tb 0.000 0.000 0.000
2 Pr 0.120 0.460 0.783
3 Pr 0.217 0.880 0.540
4 Pr 0.333 0.333 0.333
5 Pr 0.460 0.783 0.120
6 Pr 0.540 0.217 0.880
7 Pr 0.667 0.667 0.667
8 Pr 0.783 0.120 0.460
9 Pr 0.880 0.540 0.217
10 Sb 0.067 0.739 0.392
11 Sb 0.261 0.608 0.933
12 Sb 0.392 0.067 0.739
13 Sb 0.608 0.933 0.261
14 Sb 0.739 0.392 0.067
15 Sb 0.933 0.261 0.608

***

(13)
Ac4InHg2 | PBE | relaxed

Results
The polymorph energy (0 for the lowest one) comes out at 8.1 kJ/mol of formula units. As for the crystal system: trigonal. The formation energy from the elements is -0.31 eV per atom. The space group is R-3m (166).

a b c (Å): 9.669 9.669 9.669
angles (deg): 34.34 34.34 34.34
Atoms (fractional coordinates):
1 Ac 0.119 0.119 0.119
2 Ac 0.371 0.371 0.371
3 Ac 0.629 0.629 0.629
4 Ac 0.881 0.881 0.881
5 In 0.500 0.500 0.500
6 Hg 0.247 0.247 0.247
7 Hg 0.753 0.753 0.753

***

(14)
TaRe2Ag | PBE | relaxed

Results
The polymorph energy (0 for the lowest one) comes out at 17.7 kJ/mol of formula units. As for the crystal system: tetragonal. The formation energy from the elements is 0.28 eV per atom. The space group is P4mm (99).

a b c (Å): 2.820 2.820 8.315
angles (deg): 90.00 90.00 90.00
Atoms (fractional coordinates):
1 Ta 0.000 0.000 0.000
2 Re 0.000 0.000 0.538
3 Re 0.500 0.500 0.748
4 Ag 0.500 0.500 0.272

***

(15)
AcNdIrPt | PBE | relaxed

Results
The polymorph energy (0 for the lowest one) comes out at 38.9 kJ/mol of formula units. As for the crystal system: cubic. The formation energy from the elements is -0.77 eV per atom. The space group is F-43m (216).

a b c (Å): 5.177 5.177 5.177
angles (deg): 60.00 60.00 60.00
Atoms (fractional coordinates):
1 Ac 0.000 0.000 0.000
2 Nd 0.500 0.500 0.500
3 Ir 0.250 0.250 0.250
4 Pt 0.750 0.750 0.750

***

(16)
V4Re5Mo | PBE | relaxed

Results
As for the crystal system: tetragonal. The formation energy from the elements is -0.27 eV per atom. The space group is P4/mmm (123).

a b c (Å): 3.057 3.057 15.343
angles (deg): 90.00 90.00 90.00
Atoms (fractional coordinates):
1 V 0.000 0.000 0.099
2 V 0.000 0.000 0.295
3 V 0.000 0.000 0.705
4 V 0.000 0.000 0.901
5 Re 0.500 0.500 0.000
6 Re 0.500 0.500 0.197
7 Re 0.500 0.500 0.393
8 Re 0.500 0.500 0.607
9 Re 0.500 0.500 0.803
10 Mo 0.000 0.000 0.500

***

(17)
Rb2BaNa2 | PBE | relaxed

Results
The polymorph energy (0 for the lowest one) comes out at 0.0 kJ/mol of formula units. As for the crystal system: tetragonal. The formation energy from the elements is 0.09 eV per atom. The space group is P4/mbm (127).

a b c (Å): 11.296 11.296 4.875
angles (deg): 90.00 90.00 90.00
Atoms (fractional coordinates):
1 Rb 0.169 0.331 0.000
2 Rb 0.331 0.831 0.000
3 Rb 0.669 0.169 0.000
4 Rb 0.831 0.669 0.000
5 Ba 0.000 0.000 0.500
6 Ba 0.500 0.500 0.500
7 Na 0.128 0.628 0.500
8 Na 0.372 0.128 0.500
9 Na 0.628 0.872 0.500
10 Na 0.872 0.372 0.500

***

(18)
Ba2Tl4CdPb3 | PBE | relaxed

Results
As for the crystal system: tetragonal. The formation energy from the elements is -0.21 eV per atom. The space group is P-4m2 (115).

a b c (Å): 5.005 5.005 14.002
angles (deg): 90.00 90.00 90.00
Atoms (fractional coordinates):
1 Ba 0.000 0.500 0.243
2 Ba 0.500 0.000 0.757
3 Tl 0.000 0.000 0.500
4 Tl 0.000 0.500 0.866
5 Tl 0.500 0.000 0.134
6 Tl 0.500 0.500 0.500
7 Cd 0.500 0.500 0.000
8 Pb 0.000 0.000 0.000
9 Pb 0.000 0.500 0.645
10 Pb 0.500 0.000 0.355

***

(19)
Dy8Ho2Th3 | PBE | relaxed

Results
As for the crystal system: monoclinic. The formation energy from the elements is 0.27 eV per atom. The space group is C2/m (12).

a b c (Å): 10.673 10.673 5.568
angles (deg): 90.06 90.06 43.17
Atoms (fractional coordinates):
1 Dy 0.097 0.688 0.000
2 Dy 0.171 0.171 0.501
3 Dy 0.312 0.903 0.000
4 Dy 0.371 0.371 0.501
5 Dy 0.629 0.629 0.499
6 Dy 0.688 0.097 0.000
7 Dy 0.829 0.829 0.499
8 Dy 0.903 0.312 0.000
9 Ho 0.261 0.261 0.001
10 Ho 0.739 0.739 0.999
11 Th 0.204 0.796 0.500
12 Th 0.500 0.500 0.000
13 Th 0.796 0.204 0.500

***

(20)
SrLiTaH2 | PBE | relaxed

Results
As for the crystal system: tetragonal. The space group is P4/mmm (123).

a b c (Å): 3.925 3.925 5.996
angles (deg): 90.00 90.00 90.00
Atoms (fractional coordinates):
1 Sr 0.000 0.000 0.000
2 Li 0.500 0.500 0.000
3 Ta 0.000 0.000 0.500
4 H 0.000 0.500 0.500
5 H 0.500 0.000 0.500

***

Number 1: DFT total energy -25.68 eV per formula unit, DOS at the Fermi energy 7.01 states/eV/cell. Number 2: DFT total energy -56.89 eV per formula unit, DOS at the Fermi energy 14.41 states/eV/cell. Number 3: DFT total energy -27.46 eV per formula unit, DOS at the Fermi energy 3.13 states/eV/cell. Number 4: DFT total energy -35.22 eV per formula unit, DOS at the Fermi energy 4.39 states/eV/cell. Number 5: DFT total energy -89.16 eV per formula unit, DOS at the Fermi energy 6.82 states/eV/cell. Number 6: DFT total energy -35.07 eV per formula unit, DOS at the Fermi energy 2.35 states/eV/cell. Number 7: DFT total energy -29.34 eV per formula unit, DOS at the Fermi energy 6.81 states/eV/cell. Number 8: DFT total energy -18.13 eV per formula unit, DOS at the Fermi energy 3.90 states/eV/cell. Number 9: DFT total energy -64.98 eV per formula unit, DOS at the Fermi energy 9.31 states/eV/cell. Number 10: DFT total energy -47.04 eV per formula unit, DOS at the Fermi energy 1.96 states/eV/cell. Number 11: DFT total energy -34.37 eV per formula unit, DOS at the Fermi energy 19.86 states/eV/cell. Number 12: DFT total energy -79.91 eV per formula unit, DOS at the Fermi energy 17.12 states/eV/cell. Number 13: DFT total energy -21.94 eV per formula unit, DOS at the Fermi energy 8.72 states/eV/cell. Number 14: DFT total energy -38.48 eV per formula unit, DOS at the Fermi energy 4.06 states/eV/cell. Number 15: DFT total energy -26.84 eV per formula unit, DOS at the Fermi energy 1.32 states/eV/cell. Number 16: DFT total energy -112.23 eV per formula unit, DOS at the Fermi energy 6.01 states/eV/cell. Number 17: DFT total energy -6.03 eV per formula unit, DOS at the Fermi energy 9.96 states/eV/cell. Number 18: DFT total energy -27.46 eV per formula unit, DOS at the Fermi energy 4.89 states/eV/cell. Number 19: DFT total energy -64.70 eV per formula unit, DOS at the Fermi energy 21.72 states/eV/cell. Number 20: DFT total energy -17.41 eV per formula unit, DOS at the Fermi energy 2.74 states/eV/cell.